This record from Alexandria describes a relaxed BaY2P crystal. The functional is PBE-GGA.

a b c (Å): 9.454 9.454 9.454
angles (deg): 156.99 155.25 34.04
Atoms (fractional coordinates):
Y 0.903 0.903 0.000
Ba 0.572 0.572 0.000
Y 0.250 0.750 0.500
P 0.776 0.276 0.500

Computed properties:
For the formation energy, the calculation gives -0.46 eV/atom. As for the theoretical density: 4161 kg/m³. The total energy comes out at -5.5254 eV per atom.

This record from Alexandria describes a relaxed AgW2 crystal. The functional is PBE-GGA.

a b c (Å): 4.990 4.990 4.990
angles (deg): 149.25 128.13 61.52
Atoms (fractional coordinates):
Ag 0.000 0.000 0.000
W 0.332 0.332 0.000
W 0.668 0.668 0.000

Computed properties:
As for the energy relative to the lowest polymorph listed for this composition: 85 meV/atom. For the formation energy, the calculation gives 0.59 eV/atom. As for the theoretical density: 15945 kg/m³. The total energy comes out at -8.9984 eV per atom.

This record from Alexandria describes a relaxed Bi7I2 crystal. The functional is PBE-GGA.

a b c (Å): 4.489 11.643 13.433
angles (deg): 88.23 90.00 90.00
Atoms (fractional coordinates):
Bi 0.750 0.235 0.200
Bi 0.750 0.588 0.851
Bi 0.250 0.700 0.580
Bi 0.250 0.412 0.149
Bi 0.750 0.027 0.749
Bi 0.250 0.765 0.800
Bi 0.750 0.803 0.307
I 0.250 0.347 0.927
I 0.750 0.459 0.647
I 0.750 0.653 0.073
Bi 0.750 0.873 0.528
Bi 0.250 0.127 0.472
I 0.250 0.541 0.353
Bi 0.750 0.300 0.420
Bi 0.750 0.086 0.974
Bi 0.250 0.197 0.693
Bi 0.250 0.914 0.026
Bi 0.250 0.973 0.251

Computed properties:
As for the theoretical density: 8124 kg/m³. The total energy comes out at -3.4638 eV per atom. The uncorrected formation energy comes out at -0.1008 eV/atom.